[1]
Density functional theory data (PBEsol) for a geometry-optimized ZnTeCl structure.

abc: 4.752 4.752 4.752
angles: 60.00 60.00 60.00
Sites, in units of the cell vectors:
Zn1 0.000 0.000 0.000
Te1 0.250 0.250 0.250
Cl1 0.500 0.500 0.500

Values from the calculation:
Total magnetization ... 0.0 μB per formula unit


[2]
Density functional theory data (PBEsol) for a geometry-optimized ZnTeCl structure.

abc: 4.749 4.749 4.749
angles: 60.00 60.00 60.00
Sites, in units of the cell vectors:
Zn1 0.000 0.000 0.000
Te1 0.500 0.500 0.500
Cl1 0.750 0.750 0.750

Values from the calculation:
Total magnetization ... 0.0 μB per formula unit


[3]
Density functional theory data (PBEsol) for a geometry-optimized ZnTe2Cl structure.

abc: 3.764 3.764 7.775
angles: 90.00 90.00 114.38
Sites, in units of the cell vectors:
Zn1 0.000 0.000 0.000
Te1 0.500 0.500 0.210
Te2 0.500 0.500 0.790
Cl1 0.000 0.000 0.500

Values from the calculation:
Total magnetization ... 0.0 μB per formula unit


[4]
Density functional theory data (PBEsol) for a geometry-optimized Zn2TeCl structure.

abc: 4.862 4.862 3.400
angles: 90.00 90.00 90.00
Sites, in units of the cell vectors:
Zn1 0.000 0.500 0.000
Zn2 0.500 0.000 0.000
Te1 0.000 0.000 0.500
Cl1 0.500 0.500 0.500

Values from the calculation:
Total magnetization ... 0.0 μB per formula unit


[5]
Density functional theory data (PBEsol) for a geometry-optimized ZrTeCl3 structure.

abc: 5.346 5.346 5.346
angles: 90.00 90.00 90.00
Sites, in units of the cell vectors:
Zr1 0.000 0.000 0.000
Te1 0.500 0.500 0.500
Cl1 0.000 0.500 0.500
Cl2 0.500 0.000 0.500
Cl3 0.500 0.500 0.000

Values from the calculation:
Total magnetization ... 2.9 μB per formula unit


[6]
Density functional theory data (PBEsol) for a geometry-optimized ZrTeCl3 structure.

abc: 5.010 5.010 5.010
angles: 90.00 90.00 90.00
Sites, in units of the cell vectors:
Zr1 0.000 0.000 0.000
Te1 0.500 0.500 0.500
Cl1 0.000 0.000 0.500
Cl2 0.000 0.500 0.000
Cl3 0.500 0.000 0.000

Values from the calculation:
Total magnetization ... 1.9 μB per formula unit


[7]
Density functional theory data (PBEsol) for a geometry-optimized ZrTe4Cl structure.

abc: 6.123 6.123 6.123
angles: 60.00 60.00 60.00
Sites, in units of the cell vectors:
Zr1 0.000 0.000 0.000
Te1 0.124 0.625 0.625
Te2 0.625 0.124 0.625
Te3 0.625 0.625 0.124
Te4 0.625 0.625 0.625
Cl1 0.250 0.250 0.250

Values from the calculation:
Total magnetization ... 0.9 μB per formula unit


[8]
Density functional theory data (PBEsol) for a geometry-optimized ZrTeCl4 structure.

abc: 5.566 5.566 5.566
angles: 60.00 60.00 60.00
Sites, in units of the cell vectors:
Zr1 0.000 0.000 0.000
Te1 0.750 0.750 0.750
Cl1 0.374 0.374 0.374
Cl2 0.374 0.374 0.879
Cl3 0.374 0.879 0.374
Cl4 0.879 0.374 0.374

Values from the calculation:
Total magnetization ... 1.4 μB per formula unit


[9]
Density functional theory data (PBEsol) for a geometry-optimized ZrTe2Cl12 structure.

abc: 25.040 25.040 25.040
angles: 26.18 26.18 26.18
Sites, in units of the cell vectors:
Zr1 0.126 0.126 0.126
Zr2 0.250 0.250 0.250
Zr3 0.374 0.374 0.374
Zr4 0.626 0.626 0.626
Zr5 0.750 0.750 0.750
Zr6 0.874 0.874 0.874
Te1 0.019 0.370 0.734
Te2 0.130 0.481 0.766
Te3 0.234 0.870 0.519
Te4 0.266 0.981 0.630
Te5 0.370 0.734 0.019
Te6 0.481 0.766 0.130
Te7 0.519 0.234 0.870
Te8 0.630 0.266 0.981
Te9 0.734 0.019 0.370
Te10 0.766 0.130 0.481
Te11 0.870 0.519 0.234
Te12 0.981 0.630 0.266
Cl1 0.037 0.048 0.351
Cl2 0.041 0.695 0.697
Cl3 0.043 0.709 0.063
Cl4 0.048 0.351 0.037
Cl5 0.063 0.043 0.709
Cl6 0.063 0.367 0.378
Cl7 0.099 0.795 0.788
Cl8 0.107 0.158 0.801
Cl9 0.122 0.133 0.437
Cl10 0.133 0.437 0.122
Cl11 0.149 0.452 0.463
Cl12 0.158 0.801 0.107
Cl13 0.195 0.541 0.197
Cl14 0.197 0.195 0.541
Cl15 0.199 0.893 0.842
Cl16 0.205 0.212 0.901
Cl17 0.209 0.543 0.563
Cl18 0.212 0.901 0.205
Cl19 0.288 0.295 0.599
Cl20 0.291 0.937 0.957
Cl21 0.295 0.599 0.288
Cl22 0.301 0.658 0.607
Cl23 0.303 0.959 0.305
Cl24 0.305 0.303 0.959
Cl25 0.342 0.393 0.699
Cl26 0.351 0.037 0.048
Cl27 0.367 0.378 0.063
Cl28 0.378 0.063 0.367
Cl29 0.393 0.699 0.342
Cl30 0.401 0.712 0.705
Cl31 0.437 0.122 0.133
Cl32 0.437 0.791 0.457
Cl33 0.452 0.463 0.149
Cl34 0.457 0.437 0.791
Cl35 0.459 0.803 0.805
Cl36 0.463 0.149 0.452
Cl37 0.537 0.851 0.548
Cl38 0.541 0.197 0.195
Cl39 0.543 0.563 0.209
Cl40 0.548 0.537 0.851
Cl41 0.563 0.209 0.543
Cl42 0.563 0.878 0.867
Cl43 0.599 0.288 0.295
Cl44 0.607 0.301 0.658
Cl45 0.622 0.937 0.633
Cl46 0.633 0.622 0.937
Cl47 0.649 0.963 0.952
Cl48 0.658 0.607 0.301
Cl49 0.695 0.697 0.041
Cl50 0.697 0.041 0.695
Cl51 0.699 0.342 0.393
Cl52 0.705 0.401 0.712
Cl53 0.709 0.063 0.043
Cl54 0.712 0.705 0.401
Cl55 0.788 0.099 0.795
Cl56 0.791 0.457 0.437
Cl57 0.795 0.788 0.099
Cl58 0.801 0.107 0.158
Cl59 0.803 0.805 0.459
Cl60 0.805 0.459 0.803
Cl61 0.842 0.199 0.893
Cl62 0.851 0.548 0.537
Cl63 0.867 0.563 0.878
Cl64 0.878 0.867 0.563
Cl65 0.893 0.842 0.199
Cl66 0.901 0.205 0.212
Cl67 0.937 0.633 0.622
Cl68 0.937 0.957 0.291
Cl69 0.952 0.649 0.963
Cl70 0.957 0.291 0.937
Cl71 0.959 0.305 0.303
Cl72 0.963 0.952 0.649

Values from the calculation:
Total magnetization ... 0.0 μB per formula unit


[10]
Density functional theory data (PBEsol) for a geometry-optimized ThCl4 structure.

abc: 7.830 7.830 7.830
angles: 131.48 131.48 71.05
Sites, in units of the cell vectors:
Th1 0.375 0.125 0.250
Th2 0.625 0.875 0.750
Cl1 0.037 0.734 0.869
Cl2 0.234 0.865 0.697
Cl3 0.332 0.463 0.197
Cl4 0.365 0.168 0.631
Cl5 0.635 0.832 0.369
Cl6 0.668 0.537 0.803
Cl7 0.766 0.135 0.303
Cl8 0.963 0.266 0.131

Values from the calculation:
Total magnetization ... 0.0 μB per formula unit


[11]
Density functional theory data (PBEsol) for a geometry-optimized Ti7Cl16 structure.

abc: 9.793 14.104 6.732
angles: 90.00 90.00 90.00
Sites, in units of the cell vectors:
Ti1 0.000 0.000 0.000
Ti2 0.043 0.264 0.000
Ti3 0.250 0.364 0.209
Ti4 0.250 0.364 0.791
Ti5 0.250 0.864 0.291
Ti6 0.250 0.864 0.709
Ti7 0.457 0.764 0.500
Ti8 0.500 0.500 0.500
Ti9 0.543 0.236 0.500
Ti10 0.750 0.136 0.291
Ti11 0.750 0.136 0.709
Ti12 0.750 0.636 0.209
Ti13 0.750 0.636 0.791
Ti14 0.957 0.736 0.000
Cl1 0.010 0.130 0.248
Cl2 0.010 0.130 0.752
Cl3 0.015 0.376 0.250
Cl4 0.015 0.376 0.750
Cl5 0.222 0.730 0.500
Cl6 0.223 0.751 0.000
Cl7 0.237 0.996 0.500
Cl8 0.246 0.983 0.000
Cl9 0.254 0.483 0.500
Cl10 0.263 0.496 0.000
Cl11 0.277 0.251 0.500
Cl12 0.278 0.230 0.000
Cl13 0.485 0.876 0.250
Cl14 0.485 0.876 0.750
Cl15 0.490 0.630 0.252
Cl16 0.490 0.630 0.748
Cl17 0.510 0.370 0.252
Cl18 0.510 0.370 0.748
Cl19 0.515 0.124 0.250
Cl20 0.515 0.124 0.750
Cl21 0.722 0.770 0.000
Cl22 0.723 0.749 0.500
Cl23 0.737 0.504 0.000
Cl24 0.746 0.517 0.500
Cl25 0.754 0.017 0.000
Cl26 0.763 0.004 0.500
Cl27 0.777 0.249 0.000
Cl28 0.778 0.270 0.500
Cl29 0.985 0.624 0.250
Cl30 0.985 0.624 0.750
Cl31 0.990 0.870 0.248
Cl32 0.990 0.870 0.752

Values from the calculation:
Total magnetization ... 0.1 μB per formula unit


[12]
Density functional theory data (PBEsol) for a geometry-optimized TiCl2 structure.

abc: 3.210 3.210 6.552
angles: 90.00 90.00 120.00
Sites, in units of the cell vectors:
Ti1 0.000 0.000 0.000
Cl1 0.333 0.667 0.244
Cl2 0.667 0.333 0.756

Values from the calculation:
Total magnetization ... 0.0 μB per formula unit


no.,VASP energy (eV/atom)
1,-2.288
2,-1.766
3,-2.705
4,-2.223
5,-3.230
6,-4.506
7,-3.949
8,-3.316
9,-3.680
10,-5.397
11,-5.492
12,-5.589